Rb2SiOsCl6 | PBE | optimized geometry

Lattice parameters (Å, degrees): 7.4765 7.4765 6.9731 57.58 57.58 90.00
Fractional positions:
Si  0.5000  0.5000  0.0000
Os  0.0000  0.0000  0.0000
Rb  0.7500  0.2500  0.5000
Rb  0.2500  0.7500  0.5000
Cl  0.2526  0.2526  0.4948
Cl  0.7474  0.7474  0.5052
Cl  0.2312  0.2312  0.0000
Cl  0.7688  0.7688  0.0000
Cl  0.7688  0.2312  0.0000
Cl  0.2312  0.7688  0.0000

Calculated values
- Energy: -3.78 eV/atom
- DOS at the Fermi energy: 0.00 states/eV/cell
- Formation energy (no corrections): -0.810 eV/atom

RbSnOsCl2 | PBE | optimized geometry

Lattice parameters (Å, degrees): 5.4469 7.9114 5.4469 90.00 90.00 90.00
Fractional positions:
Os  0.5000  0.5000  0.5000
Sn  0.0000  0.0000  0.0000
Rb  0.0000  0.5000  0.0000
Cl  0.0000  0.0000  0.5000
Cl  0.5000  0.0000  0.0000

Calculated values
- Energy: -3.15 eV/atom
- DOS at the Fermi energy: 25.73 states/eV/cell
- Formation energy (no corrections): 0.832 eV/atom

Rb2SrOsCl6 | PBE | optimized geometry

Lattice parameters (Å, degrees): 7.4115 7.4115 7.4114 60.00 60.00 90.00
Fractional positions:
Sr  0.5000  0.5000  0.0000
Os  0.0000  0.0000  0.0000
Rb  0.7500  0.2500  0.5000
Rb  0.2500  0.7500  0.5000
Cl  0.2299  0.2299  0.5403
Cl  0.7701  0.7701  0.4597
Cl  0.2299  0.2299  0.0000
Cl  0.7701  0.7701  0.0000
Cl  0.7701  0.2299  0.0000
Cl  0.2299  0.7701  0.0000

Calculated values
- Energy: -4.01 eV/atom
- DOS at the Fermi energy: 0.00 states/eV/cell
- Formation energy (no corrections): -1.417 eV/atom

RbTl2OsCl8 | PBE | optimized geometry

Lattice parameters (Å, degrees): 6.0544 7.7551 9.3551 89.97 90.01 111.72
Fractional positions:
Rb  0.0000  0.0000  0.5000
Tl  0.5007  0.4998  0.7363
Tl  0.4993  0.5002  0.2637
Os  0.0000  0.0000  0.0000
Cl  0.0554  0.8067  0.1765
Cl  0.5984  0.8208  0.9997
Cl  0.9438  0.1929  0.1764
Cl  0.9446  0.1933  0.8235
Cl  0.4016  0.1792  0.0003
Cl  0.0562  0.8071  0.8236
Cl  0.4271  0.7206  0.5003
Cl  0.5729  0.2794  0.4997

Calculated values
- Energy: -3.52 eV/atom
- DOS at the Fermi energy: 2.19 states/eV/cell
- Formation energy (no corrections): -0.875 eV/atom

Rb2TlOsCl6 | PBE | optimized geometry

Lattice parameters (Å, degrees): 7.6319 7.6319 7.6314 60.00 60.00 90.00
Fractional positions:
Tl  0.0000  0.0000  0.0000
Os  0.5000  0.5000  0.0000
Rb  0.7500  0.2500  0.5000
Rb  0.2500  0.7500  0.5000
Cl  0.2795  0.2795  0.4410
Cl  0.7205  0.7205  0.5590
Cl  0.2795  0.2795  0.0000
Cl  0.7205  0.7205  0.0000
Cl  0.7205  0.2795  0.0000
Cl  0.2795  0.7205  0.0000

Calculated values
- Energy: -3.74 eV/atom
- DOS at the Fermi energy: 14.98 states/eV/cell
- Formation energy (no corrections): -1.083 eV/atom
- ΔE to the lowest computed polymorph: 0.016 eV/atom

Rb2TlOsCl6 | PBE | optimized geometry

Lattice parameters (Å, degrees): 7.2158 7.2158 15.6199 76.65 76.65 60.00
Fractional positions:
Rb  0.8592  0.8592  0.4223
Rb  0.1408  0.1408  0.5777
Rb  0.6914  0.6914  0.9258
Rb  0.3086  0.3086  0.0742
Tl  0.5842  0.5842  0.2474
Tl  0.4158  0.4158  0.7526
Os  0.0000  0.0000  0.0000
Os  0.5000  0.5000  0.5000
Cl  0.8424  0.3752  0.4073
Cl  0.3752  0.8424  0.4073
Cl  0.3752  0.3752  0.4073
Cl  0.1576  0.6248  0.5927
Cl  0.6248  0.1576  0.5927
Cl  0.6248  0.6248  0.5927
Cl  0.7217  0.1855  0.9072
Cl  0.1855  0.7217  0.9072
Cl  0.1855  0.1855  0.9072
Cl  0.2783  0.8145  0.0928
Cl  0.8145  0.2783  0.0928
Cl  0.8145  0.8145  0.0928

Calculated values
- Energy: -3.76 eV/atom
- DOS at the Fermi energy: 18.17 states/eV/cell
- Formation energy (no corrections): -1.099 eV/atom
- ΔE to the lowest computed polymorph: 0.000 eV/atom

Rb2VOsCl6 | PBE | optimized geometry

Lattice parameters (Å, degrees): 7.2372 7.2372 6.8457 58.09 58.09 90.00
Fractional positions:
Cl  0.2514  0.2514  0.4972
Cl  0.7486  0.7486  0.5028
Cl  0.2429  0.2429  0.0000
Cl  0.7571  0.7571  0.0000
Cl  0.7571  0.2429  0.0000
Cl  0.2429  0.7571  0.0000
Os  0.0000  0.0000  0.0000
Rb  0.7500  0.2500  0.5000
Rb  0.2500  0.7500  0.5000
V  0.5000  0.5000  0.0000

Calculated values
- Energy: -4.25 eV/atom
- DOS at the Fermi energy: 5.86 states/eV/cell
- Formation energy (no corrections): -0.913 eV/atom

Rb2ZnOsCl6 | PBE | optimized geometry

Lattice parameters (Å, degrees): 7.4086 7.4086 6.9367 57.72 57.72 90.00
Fractional positions:
Zn  0.5000  0.5000  0.0000
Os  0.0000  0.0000  0.0000
Rb  0.7500  0.2500  0.5000
Rb  0.2500  0.7500  0.5000
Cl  0.2586  0.2586  0.4829
Cl  0.7414  0.7414  0.5171
Cl  0.2313  0.2313  0.0000
Cl  0.7687  0.7687  0.0000
Cl  0.7687  0.2313  0.0000
Cl  0.2313  0.7687  0.0000

Calculated values
- Energy: -3.48 eV/atom
- DOS at the Fermi energy: 5.30 states/eV/cell
- Formation energy (no corrections): -0.929 eV/atom